Li2PuCuO6 PBE-GGA optimized geometry; VASP energy = -6.758 eV/atom
1.0
4.028 0.000 0.000
0.000 5.791 0.000
0.000 0.000 5.791
O Li Cu Pu
6 2 1 1
direct
0.739 0.742 0.258 O
0.227 0.000 0.000 O
0.230 0.500 0.500 O
0.739 0.258 0.742 O
0.739 0.258 0.258 O
0.739 0.742 0.742 O
0.794 0.500 0.000 Li
0.794 0.000 0.500 Li
0.720 0.000 0.000 Cu
0.728 0.500 0.500 Pu